1.
BaPm2NdS4 (PBE, relaxed); formation energy without anion corrections = -1.9852 eV/atom
1.0
-7.151 4.191 -0.674
0.053 -1.228 -8.224
0.495 -6.463 5.111
S Nd Ba Pm
8 2 2 4
Cartesian
-1.347 -5.658 2.945
-4.980 -0.320 0.078
-4.716 -3.565 2.615
-1.592 -2.455 0.412
-5.255 2.158 -6.732
-1.887 0.064 -6.403
-1.622 -3.180 -3.865
-5.010 -1.045 -4.200
-6.656 -2.273 4.437
-3.301 -1.750 -1.894
-6.877 0.345 -2.230
0.026 -0.614 -4.112
-3.549 1.482 -4.449
-3.328 -1.136 2.219
0.248 -3.232 2.555
-3.575 2.095 -0.337

2.
Ba3PmNd3S8 (PBE, relaxed); formation energy without anion corrections = -2.0506 eV/atom
1.0
8.360 0.003 0.001
-4.178 7.234 -0.025
-0.001 -4.796 7.309
S Pm Nd Ba
8 1 3 3
Cartesian
4.181 0.021 5.257
2.066 -1.211 2.089
-2.110 3.649 5.195
0.001 -0.008 5.207
4.181 2.449 2.078
0.000 2.420 2.028
6.291 -1.208 2.089
2.116 3.652 5.195
0.000 -2.398 3.655
2.091 1.220 3.642
-2.089 1.219 3.642
4.179 -2.397 3.655
2.091 3.618 -0.012
-2.089 3.617 -0.013
0.000 0.000 0.000

3.
Ba2PmNdS4 (PBE, relaxed); formation energy without anion corrections = -2.0231 eV/atom
1.0
4.225 0.000 0.000
0.000 7.299 0.120
0.000 -2.561 7.134
S Ba Nd Pm
4 2 1 1
Cartesian
2.113 3.559 5.667
2.113 1.179 1.587
0.000 4.851 1.654
0.000 -0.114 5.600
0.000 2.369 3.627
2.113 -1.281 3.567
2.113 3.650 0.060
0.000 0.000 0.000